Compound: Pm6SiGe2
Source: Alexandria
Functional: PBE
Structure: optimized geometry

CIF file:
```
data_Pm6SiGe2
_cell_length_a 8.1227
_cell_length_b 8.1227
_cell_length_c 4.2967
_cell_angle_alpha 90.00
_cell_angle_beta 90.00
_cell_angle_gamma 120.00
_symmetry_space_group_name_H-M 'P -6 2 m'
_symmetry_Int_Tables_number 189
_symmetry_space_group_name_Hall 'P -6 -2'
loop_
_atom_site_label
_atom_site_type_symbol
_atom_site_fract_x
_atom_site_fract_y
_atom_site_fract_z
_atom_site_occupancy
Pm1 Pm 0.0000 0.2625 0.0000 1
Pm2 Pm 0.0000 0.5918 0.5000 1
Si1 Si 0.0000 0.0000 0.5000 1
Ge1 Ge 0.3333 0.6667 0.0000 1
```

## Properties
Total energy: -48.4 eV/cell
Energy relative to the elements, uncorrected: -0.58 eV/atom

Compound: FeHgBr2
Source: Alexandria
Functional: PBE
Structure: optimized geometry

CIF file:
```
data_FeHgBr2
_cell_length_a 3.910
_cell_length_b 3.529
_cell_length_c 9.911
_cell_angle_alpha 90.00
_cell_angle_beta 95.86
_cell_angle_gamma 90.00
_symmetry_space_group_name_H-M 'P 1 2/m 1'
_symmetry_Int_Tables_number 10
loop_
_symmetry_equiv_pos_as_xyz
'x,y,z'
'-x,-y,-z'
'-x,y,-z'
'x,-y,z'
loop_
_atom_site_label
_atom_site_type_symbol
_atom_site_fract_x
_atom_site_fract_y
_atom_site_fract_z
_atom_site_occupancy
Fe1 Fe 0.000 0.000 0.000 1
Hg1 Hg 0.500 0.000 0.500 1
Br1 Br 0.103 0.500 0.830 1
```

## Properties
Total energy: -12.8 eV/cell
Energy relative to the elements, uncorrected: -0.17 eV/atom